# 1
Entry from OQMD via LeMat-Bulk: an optimized crystal structure of RbPmO3 (PBE-GGA).

Summary:
Its total moment is 0.02 Bohr magnetons per cell.

Cell: 4.347 4.347 4.347 Å, 90.00 90.00 90.00°
Space group Pm-3m (No. 221)
Inequivalent atoms, fractional coordinates:
Rb 0.000 0.000 0.000 (multiplicity 1)
Pm 0.500 0.500 0.500 (multiplicity 1)
O 0.000 0.000 0.500 (multiplicity 3)

# 2
Entry from OQMD via LeMat-Bulk: an optimized crystal structure of TaAgO3 (PBE-GGA).

Summary:
Its total moment is 0.00 Bohr magnetons per cell.

Cell: 6.0287 6.0287 12.3175 Å, 90.00 90.00 120.00°
Space group R-3c (No. 167, hexagonal axes)
Inequivalent atoms, fractional coordinates:
Ta 0.0000 0.0000 0.2500 (multiplicity 6)
Ag 0.0000 0.0000 0.0000 (multiplicity 6)
O 0.0000 0.3072 0.2500 (multiplicity 18)

# 3
Entry from OQMD via LeMat-Bulk: an optimized crystal structure of LaSm3Br2N2 (PBE-GGA).

Summary:
Its total moment is 0.00 Bohr magnetons per cell.

Cell: 3.6894 3.6894 14.5420 Å, 90.00 90.00 120.00°
Space group P3m1 (No. 156)
Inequivalent atoms, fractional coordinates:
La 0.0000 0.0000 0.0000 (multiplicity 1)
Sm 0.0000 0.0000 0.3211 (multiplicity 1)
Sm 0.6667 0.3333 0.4977 (multiplicity 1)
Sm 0.6667 0.3333 0.8158 (multiplicity 1)
Br 0.0000 0.0000 0.6560 (multiplicity 1)
Br 0.6667 0.3333 0.1678 (multiplicity 1)
N 0.3333 0.6667 0.4093 (multiplicity 1)
N 0.3333 0.6667 0.8966 (multiplicity 1)

VASP energy readings, ordered: -4.5554, -7.2501, -6.3296 eV/atom